1.
The following is a DFT calculation (PBE) of a relaxed structure of CsWSe3.

Results
Total DFT energy (no corrections) ... -26.00 eV/f.u.
Size of the total moment ... 0.000 μB/f.u.
Density of states at the Fermi level ... 0.41 states/eV/atom
Relative energy among the computed polymorphs ... 0.66 eV/f.u.
ΔE_f (raw) ... -0.349 eV/atom

Cell lengths 5.0915, 5.0915, 5.0915 Å; angles 90.00, 90.00, 90.00 degrees
Last column: nearest neighbours and their distance in Å.
Space group Pm-3m (No. 221)
Inequivalent atoms, fractional coordinates:
Cs (0.0000, 0.0000, 0.0000)  12 Se 3.60
W (0.5000, 0.5000, 0.5000)  6 Se 2.55
Se (0.0000, 0.5000, 0.5000)  2 W 2.55

---

2.
The following is a DFT calculation (PBE) of a relaxed structure of CsW2Se4.

Results
Total DFT energy (no corrections) ... -45.06 eV/f.u.
Size of the total moment ... 0.000 μB/f.u.
Density of states at the Fermi level ... 0.18 states/eV/atom
ΔE_f (raw) ... -0.623 eV/atom

Cell lengths 17.9211, 3.5050, 5.9721 Å; angles 90.00, 99.83, 90.00 degrees
Last column: nearest neighbours and their distance in Å.
Space group C2/m (No. 12)
Inequivalent atoms, fractional coordinates:
Cs (0.0000, 0.0000, 0.0000)  2 Cs 3.51, 6 Se 3.55-3.75
W (0.2457, 0.5000, 0.6833)  6 Se 2.53-2.69, 2 W 2.83
Se (0.1445, 0.0000, 0.5335)  3 W 2.53-2.57
Se (0.1741, 0.5000, 0.0436)  3 W 2.65-2.69

---

3.
The following is a DFT calculation (PBE) of a relaxed structure of CsW2Se2.

Results
Total DFT energy (no corrections) ... -30.31 eV/f.u.
Size of the total moment ... 0.000 μB/f.u.
Density of states at the Fermi level ... 0.42 states/eV/atom
Relative energy among the computed polymorphs ... 1.49 eV/f.u.
ΔE_f (raw) ... 0.684 eV/atom

Cell lengths 8.8931, 8.8931, 3.2411 Å; angles 90.00, 90.00, 90.00 degrees
Last column: nearest neighbours and their distance in Å.
Space group P4/mbm (No. 127)
Inequivalent atoms, fractional coordinates:
Cs (0.0000, 0.0000, 0.0000)  2 Cs 3.24
W (0.0898, 0.4102, 0.0000)  1 W 2.26
Se (0.1510, 0.6510, 0.5000)  4 W 2.74

---

4.
The following is a DFT calculation (PBE) of a relaxed structure of CsW3Se.

Results
Total DFT energy (no corrections) ... -22.74 eV/f.u.
Size of the total moment ... 0.000 μB/f.u.
Density of states at the Fermi level ... 1.88 states/eV/atom
Relative energy among the computed polymorphs ... 9.02 eV/f.u.
ΔE_f (raw) ... 4.091 eV/atom

Cell lengths 4.9622, 4.9622, 4.9622 Å; angles 90.00, 90.00, 90.00 degrees
Last column: nearest neighbours and their distance in Å.
Space group Pm-3m (No. 221)
Inequivalent atoms, fractional coordinates:
Cs (0.0000, 0.0000, 0.0000)  6 W 2.48
W (0.0000, 0.0000, 0.5000)  2 Cs 2.48
Se (0.5000, 0.5000, 0.5000)  12 W 3.51

---

5.
The following is a DFT calculation (PBE) of a relaxed structure of Cs3WSe4.

Results
Total DFT energy (no corrections) ... -36.29 eV/f.u.
Size of the total moment ... 1.019 μB/f.u.
Density of states at the Fermi level ... 0.63 states/eV/atom
Relative energy among the computed polymorphs ... 0.00 eV/f.u.
ΔE_f (raw) ... -0.855 eV/atom

Cell lengths 13.9997, 7.1540, 6.9089 Å; angles 90.00, 90.00, 90.00 degrees
Last column: nearest neighbours and their distance in Å.
Space group Pmn2_1 (No. 31)
Inequivalent atoms, fractional coordinates:
Cs (0.0000, 0.1518, 0.0000)  4 Se 3.59-3.65
Cs (0.2494, 0.7247, 0.0297)  6 Se 3.53-3.89
W (0.0000, 0.6401, 0.4191)  4 Se 2.38-2.40
Se (0.0000, 0.3170, 0.4997)  1 W 2.38
Se (0.0000, 0.6487, 0.0747)  1 W 2.38
Se (0.1461, 0.7792, 0.5303)  1 W 2.40

---

6.
The following is a DFT calculation (PBE) of a relaxed structure of CsWSe2.

Results
Total DFT energy (no corrections) ... -17.64 eV/f.u.
Size of the total moment ... 2.965 μB/f.u.
Density of states at the Fermi level ... 0.49 states/eV/atom
Relative energy among the computed polymorphs ... 4.10 eV/f.u.
ΔE_f (raw) ... 0.785 eV/atom

Cell lengths 7.3589, 7.3589, 7.3589 Å; angles 90.00, 90.00, 90.00 degrees
Last column: nearest neighbours and their distance in Å.
Space group Fm-3m (No. 225)
Inequivalent atoms, fractional coordinates:
Cs (0.0000, 0.0000, 0.0000)  8 Se 3.19
W (0.0000, 0.0000, 0.5000)  8 Se 3.19
Se (0.2500, 0.2500, 0.2500)  4 W 3.19, 4 Cs 3.19

---

7.
The following is a DFT calculation (PBE) of a relaxed structure of CsWSe3.

Results
Total DFT energy (no corrections) ... -26.66 eV/f.u.
Size of the total moment ... 0.001 μB/f.u.
Density of states at the Fermi level ... 0.58 states/eV/atom
Relative energy among the computed polymorphs ... 0.00 eV/f.u.
ΔE_f (raw) ... -0.481 eV/atom

Cell lengths 9.8178, 6.6645, 9.3706 Å; angles 90.00, 98.56, 90.00 degrees
Last column: nearest neighbours and their distance in Å.
Space group P2_1/c (No. 14)
Inequivalent atoms, fractional coordinates:
Cs (0.1228, 0.1562, 0.2107)  6 Se 3.44-3.85
W (0.4226, 0.7395, 0.5925)  5 Se 2.40-2.59
Se (0.1836, 0.6715, 0.0679)  1 W 2.40
Se (0.3516, 0.0730, 0.9502)  2 W 2.51-2.56
Se (0.4627, 0.5841, 0.8423)  3 W 2.54-2.70

---

8.
The following is a DFT calculation (PBE) of a relaxed structure of CsZnWSe2.

Results
Total DFT energy (no corrections) ... -11.68 eV/f.u.
Size of the total moment ... 4.079 μB/f.u.
Density of states at the Fermi level ... 1.48 states/eV/atom
ΔE_f (raw) ... 2.073 eV/atom

Cell lengths 6.0307, 6.0307, 5.9737 Å; angles 90.00, 90.00, 90.00 degrees
Last column: nearest neighbours and their distance in Å.
Space group P4/mmm (No. 123)
Inequivalent atoms, fractional coordinates:
Cs (0.0000, 0.0000, 0.0000)  2 Zn 2.99, 4 Se 3.02
Zn (0.0000, 0.0000, 0.5000)  2 Cs 2.99
W (0.5000, 0.5000, 0.5000)  8 Se 4.24, 4 Zn 4.26
Se (0.0000, 0.5000, 0.0000)  2 Cs 3.02

---

9.
The following is a DFT calculation (PBE) of a relaxed structure of CsYSe2.

Results
Total DFT energy (no corrections) ... -19.50 eV/f.u.
Size of the total moment ... 0.000 μB/f.u.
Density of states at the Fermi level ... 0.00 states/eV/atom
ΔE_f (raw) ... -1.302 eV/atom

Cell lengths 5.1183, 24.9970, 5.5484 Å; angles 90.00, 90.00, 90.00 degrees
Last column: nearest neighbours and their distance in Å.
Space group Cmcm (No. 63)
Inequivalent atoms, fractional coordinates:
Cs (0.0000, 0.1829, 0.2500)  5 Se 3.70-3.79
Y (0.0000, 0.4353, 0.2500)  4 Se 2.61-2.89
Se (0.0000, 0.3308, 0.2500)  1 Y 2.61
Se (0.0000, 0.4490, 0.7500)  3 Y 2.80-2.89

---

10.
The following is a DFT calculation (PBE) of a relaxed structure of Cs3YSe3.

Results
Total DFT energy (no corrections) ... -29.52 eV/f.u.
Size of the total moment ... 0.000 μB/f.u.
Density of states at the Fermi level ... 0.00 states/eV/atom
ΔE_f (raw) ... -1.435 eV/atom

Cell lengths 9.0043, 15.0928, 11.5998 Å; angles 90.00, 127.24, 90.00 degrees
Last column: nearest neighbours and their distance in Å.
Space group P2_1/c (No. 14)
Inequivalent atoms, fractional coordinates:
Cs (0.1114, 0.1237, 0.4738)  4 Se 3.63-3.74
Cs (0.1654, 0.1094, 0.8863)  5 Se 3.59-3.77
Cs (0.3370, 0.6750, 0.5448)  6 Se 3.67-4.06
Y (0.4449, 0.0652, 0.3387)  4 Se 2.69-2.78
Se (0.1746, 0.1899, 0.1979)  1 Y 2.71
Se (0.3343, 0.6004, 0.8667)  2 Y 2.77-2.78
Se (0.3668, 0.5437, 0.2716)  1 Y 2.69

---

11.
The following is a DFT calculation (PBE) of a relaxed structure of CsYSe2.

Results
Total DFT energy (no corrections) ... -20.89 eV/f.u.
Size of the total moment ... 0.000 μB/f.u.
Density of states at the Fermi level ... 0.00 states/eV/atom
ΔE_f (raw) ... -1.652 eV/atom

Cell lengths 8.1724, 5.0381, 14.0305 Å; angles 90.00, 90.00, 90.00 degrees
Last column: nearest neighbours and their distance in Å.
Space group Pnma (No. 62)
Inequivalent atoms, fractional coordinates:
Cs (0.0936, 0.2500, 0.1275)  7 Se 3.65-4.00
Y (0.0661, 0.7500, 0.3826)  5 Se 2.71-2.91
Se (0.1612, 0.2500, 0.4582)  3 Y 2.84-2.91
Se (0.1628, 0.2500, 0.7573)  2 Y 2.71-2.83

---

12.
The following is a DFT calculation (PBE) of a relaxed structure of CsYSe2.

Results
Total DFT energy (no corrections) ... -18.01 eV/f.u.
Size of the total moment ... 0.000 μB/f.u.
Density of states at the Fermi level ... 0.13 states/eV/atom
ΔE_f (raw) ... -0.932 eV/atom

Cell lengths 5.4743, 5.4743, 3.8580 Å; angles 90.00, 90.00, 90.00 degrees
Last column: nearest neighbours and their distance in Å.
Space group P4/mmm (No. 123)
Inequivalent atoms, fractional coordinates:
Cs (0.0000, 0.0000, 0.0000)  8 Se 3.35
Y (0.5000, 0.5000, 0.0000)  8 Se 3.35
Se (0.0000, 0.5000, 0.5000)  4 Cs 3.35, 4 Y 3.35

---

13.
The following is a DFT calculation (PBE) of a relaxed structure of CsY6Se8.

Results
Total DFT energy (no corrections) ... -94.11 eV/f.u.
Size of the total moment ... 0.822 μB/f.u.
Density of states at the Fermi level ... 0.73 states/eV/atom
ΔE_f (raw) ... -1.773 eV/atom

Cell lengths 11.0906, 11.0906, 4.1649 Å; angles 90.00, 90.00, 120.00 degrees
Last column: nearest neighbours and their distance in Å.
Space group P-3 (No. 147)
Inequivalent atoms, fractional coordinates:
Cs (0.0000, 0.0000, 0.0000)  6 Se 3.90, 2 Cs 4.16
Y (0.1384, 0.4822, 0.7499)  6 Se 2.86-2.96
Se (0.0458, 0.6863, 0.7502)  4 Y 2.86-2.92
Se (0.3333, 0.6667, 0.2495)  6 Y 2.96

---

14.
The following is a DFT calculation (PBE) of a relaxed structure of CsY2Se3.

Results
Total DFT energy (no corrections) ... -33.87 eV/f.u.
Size of the total moment ... 0.000 μB/f.u.
Density of states at the Fermi level ... 0.39 states/eV/atom
Relative energy among the computed polymorphs ... 0.00 eV/f.u.
ΔE_f (raw) ... -1.607 eV/atom

Cell lengths 7.7649, 4.1681, 11.2422 Å; angles 90.00, 103.62, 90.00 degrees
Last column: nearest neighbours and their distance in Å.
Space group P2_1/m (No. 11)
Inequivalent atoms, fractional coordinates:
Cs (0.0290, 0.2500, 0.3439)  6 Se 3.42-3.46
Y (0.2594, 0.2500, 0.9935)  6 Se 2.88-3.17
Y (0.4990, 0.7500, 0.3147)  6 Se 2.86-3.03
Se (0.1494, 0.7500, 0.1359)  4 Y 2.88-3.17
Se (0.3307, 0.7500, 0.5260)  3 Y 2.86-2.97
Se (0.3906, 0.7500, 0.8481)  5 Y 2.88-3.03

---

15.
The following is a DFT calculation (PBE) of a relaxed structure of CsYSe2.

Results
Total DFT energy (no corrections) ... -19.87 eV/f.u.
Size of the total moment ... 0.000 μB/f.u.
Density of states at the Fermi level ... 0.00 states/eV/atom
ΔE_f (raw) ... -1.395 eV/atom

Cell lengths 4.6638, 4.6638, 8.7155 Å; angles 90.00, 90.00, 120.00 degrees
Last column: nearest neighbours and their distance in Å.
Space group P3m1 (No. 156)
Inequivalent atoms, fractional coordinates:
Cs (0.0000, 0.0000, 0.0000)  3 Se 3.41
Y (0.3333, 0.6667, 0.4696)  1 Se 2.53
Se (0.3333, 0.6667, 0.7600)  1 Y 2.53
Se (0.6667, 0.3333, 0.3489)  3 Y 2.89

---

16.
The following is a DFT calculation (PBE) of a relaxed structure of CsYSe2.

Results
Total DFT energy (no corrections) ... -20.52 eV/f.u.
Size of the total moment ... 0.000 μB/f.u.
Density of states at the Fermi level ... 0.00 states/eV/atom
ΔE_f (raw) ... -1.558 eV/atom

Cell lengths 9.8959, 11.0972, 7.4248 Å; angles 90.00, 122.53, 90.00 degrees
Last column: nearest neighbours and their distance in Å.
Space group C2/c (No. 15)
Inequivalent atoms, fractional coordinates:
Cs (0.0000, 0.1204, 0.2500)  6 Se 3.70-3.84
Y (0.0000, 0.4675, 0.7500)  4 Se 2.74-2.77
Se (0.1852, 0.3876, 0.1689)  2 Y 2.74-2.77

---

17.
The following is a DFT calculation (PBE) of a relaxed structure of CsY5Se8.

Results
Total DFT energy (no corrections) ... -87.16 eV/f.u.
Size of the total moment ... 0.000 μB/f.u.
Density of states at the Fermi level ... 0.00 states/eV/atom
ΔE_f (raw) ... -1.865 eV/atom

Cell lengths 21.2818, 4.1583, 10.2002 Å; angles 90.00, 104.19, 90.00 degrees
Last column: nearest neighbours and their distance in Å.
Space group Cm (No. 8)
Inequivalent atoms, fractional coordinates:
Cs (0.0000, 0.0000, 0.0000)  10 Se 3.84-4.29, 2 Cs 4.16
Y (0.9998, 0.5000, 0.5004)  6 Se 2.86-2.89
Y (0.1558, 0.0000, 0.4566)  6 Se 2.80-3.02
Y (0.2035, 0.0000, 0.8419)  6 Se 2.81-3.01
Y (0.2962, 0.5000, 0.1587)  6 Se 2.81-3.01
Y (0.3438, 0.5000, 0.5440)  6 Se 2.80-3.02
Se (0.0778, 0.0000, 0.6508)  4 Y 2.86-2.90
Se (0.0818, 0.5000, 0.3125)  3 Y 2.80-2.89
Se (0.1683, 0.5000, 0.9942)  3 Y 2.81-2.83
Se (0.2303, 0.5000, 0.6486)  5 Y 2.87-3.02
Se (0.2693, 0.0000, 0.3519)  5 Y 2.87-3.02
Se (0.3314, 0.0000, 0.0064)  3 Y 2.81-2.83
Se (0.4178, 0.0000, 0.6882)  3 Y 2.80-2.89
Se (0.4219, 0.5000, 0.3500)  4 Y 2.86-2.90

---

18.
The following is a DFT calculation (PBE) of a relaxed structure of CsY2Se3.

Results
Total DFT energy (no corrections) ... -33.71 eV/f.u.
Size of the total moment ... 0.000 μB/f.u.
Density of states at the Fermi level ... 0.58 states/eV/atom
Relative energy among the computed polymorphs ... 0.17 eV/f.u.
ΔE_f (raw) ... -1.579 eV/atom

Cell lengths 4.5607, 16.5301, 11.2454 Å; angles 90.00, 90.00, 90.00 degrees
Last column: nearest neighbours and their distance in Å.
Space group Cmcm (No. 63)
Inequivalent atoms, fractional coordinates:
Cs (0.0000, 0.2380, 0.2500)  8 Se 3.74-4.07
Y (0.0000, 0.0323, 0.7500)  4 Se 2.71-2.73
Y (0.0000, 0.5000, 0.0000)  6 Se 2.97-3.01
Se (0.0000, 0.1150, 0.5417)  3 Y 2.71-3.01
Se (0.0000, 0.4415, 0.7500)  4 Y 2.73-2.97

---

19.
The following is a DFT calculation (PBE) of a relaxed structure of CsYSe2.

Results
Total DFT energy (no corrections) ... -20.47 eV/f.u.
Size of the total moment ... 0.000 μB/f.u.
Density of states at the Fermi level ... 0.00 states/eV/atom
ΔE_f (raw) ... -1.545 eV/atom

Cell lengths 8.8898, 8.8898, 7.6110 Å; angles 90.00, 90.00, 90.00 degrees
Last column: nearest neighbours and their distance in Å.
Space group I4/mcm (No. 140)
Inequivalent atoms, fractional coordinates:
Cs (0.0000, 0.0000, 0.2500)  2 Cs 3.81, 8 Se 3.85
Y (0.0000, 0.5000, 0.2500)  4 Se 2.77
Se (0.1596, 0.3404, 0.0000)  2 Y 2.77

---

20.
The following is a DFT calculation (PBE) of a relaxed structure of CsYSe2.

Results
Total DFT energy (no corrections) ... -20.87 eV/f.u.
Size of the total moment ... 0.000 μB/f.u.
Density of states at the Fermi level ... 0.00 states/eV/atom
ΔE_f (raw) ... -1.646 eV/atom

Cell lengths 4.2898, 4.2898, 8.9666 Å; angles 90.00, 90.00, 120.00 degrees
Last column: nearest neighbours and their distance in Å.
Space group P3m1 (No. 156)
Inequivalent atoms, fractional coordinates:
Cs (0.0000, 0.0000, 0.0000)  4 Se 3.46-3.47
Y (0.6667, 0.3333, 0.5472)  6 Se 2.87-2.97
Se (0.0000, 0.0000, 0.3853)  3 Y 2.87
Se (0.3333, 0.6667, 0.7294)  3 Y 2.97

---

21.
The following is a DFT calculation (PBE) of a relaxed structure of CsYSe2.

Results
Total DFT energy (no corrections) ... -18.50 eV/f.u.
Size of the total moment ... 0.000 μB/f.u.
Density of states at the Fermi level ... 0.04 states/eV/atom
ΔE_f (raw) ... -1.053 eV/atom

Cell lengths 4.5933, 4.5933, 6.2803 Å; angles 90.00, 90.00, 90.00 degrees
Last column: nearest neighbours and their distance in Å.
Space group P4/mmm (No. 123)
Inequivalent atoms, fractional coordinates:
Cs (0.0000, 0.0000, 0.0000)  6 Se 3.14-3.25
Y (0.5000, 0.5000, 0.5000)  6 Se 3.14-3.25
Se (0.0000, 0.0000, 0.5000)  2 Cs 3.14, 4 Y 3.25
Se (0.5000, 0.5000, 0.0000)  2 Y 3.14, 4 Cs 3.25

---

22.
The following is a DFT calculation (PBE) of a relaxed structure of CsYSe4.

Results
Total DFT energy (no corrections) ... -28.27 eV/f.u.
Size of the total moment ... 0.000 μB/f.u.
ΔE_f (raw) ... -1.170 eV/atom

Cell lengths 6.3222, 6.3222, 9.0721 Å; angles 90.00, 90.00, 90.00 degrees
Last column: nearest neighbours and their distance in Å.
Space group P4/nbm (No. 125, origin choice 2)
Inequivalent atoms, fractional coordinates:
Cs (0.2500, 0.2500, 0.0000)  8 Se 3.74
Y (0.2500, 0.2500, 0.5000)  8 Se 3.00
Se (0.1137, 0.6137, 0.3105)  1 Se 2.44